{
  "formula": "LaMnN3",
  "functional": "GGA-PBE",
  "state": "optimized geometry",
  "lattice": [[7.057, 0.000, 0.000], [0.000, 5.309, 0.000], [-6.029, 0.000, 7.131]],
  "species": ["La", "La", "La", "La", "Mn", "Mn", "Mn", "Mn", "N", "N", "N", "N", "N", "N", "N", "N", "N", "N", "N", "N"],
  "frac_coords": [[0.233, 0.235, 0.374], [0.233, 0.265, 0.874], [0.767, 0.735, 0.126], [0.767, 0.765, 0.626], [0.335, 0.742, 0.141], [0.335, 0.758, 0.641], [0.665, 0.242, 0.359], [0.665, 0.258, 0.859], [0.059, 0.578, 0.569], [0.059, 0.922, 0.069], [0.277, 0.743, 0.927], [0.277, 0.757, 0.427], [0.375, 0.089, 0.699], [0.375, 0.411, 0.199], [0.625, 0.589, 0.801], [0.625, 0.911, 0.301], [0.723, 0.243, 0.573], [0.723, 0.257, 0.073], [0.941, 0.078, 0.931], [0.941, 0.422, 0.431]],
  "formation_energy_uncorrected_mev_per_atom": -626.8
}

=====

{
  "formula": "SrTiO",
  "functional": "GGA-PBE",
  "state": "optimized geometry",
  "lattice": [[3.575, 0.000, 0.000], [0.000, 3.960, 0.000], [0.000, 0.000, 8.413]],
  "species": ["Sr", "Sr", "Ti", "Ti", "O", "O"],
  "frac_coords": [[0.000, 0.000, 0.000], [0.500, 0.500, 0.334], [0.000, 0.000, 0.566], [0.500, 0.500, 0.713], [0.000, 0.000, 0.326], [0.000, 0.500, 0.578]],
  "formation_energy_uncorrected_mev_per_atom": -1539.0,
  "de_polymorph_kj_per_mol_atoms": 4.8
}

=====

{
  "formula": "Nd6PaS12",
  "functional": "GGA-PBE",
  "state": "optimized geometry",
  "lattice": [[6.157, 3.555, 3.874], [-6.157, 3.555, 3.874], [0.000, -7.109, 3.874]],
  "species": ["Nd", "Nd", "Nd", "Nd", "Nd", "Nd", "Pa", "S", "S", "S", "S", "S", "S", "S", "S", "S", "S", "S", "S"],
  "frac_coords": [[0.129, 0.806, 0.639], [0.194, 0.361, 0.871], [0.361, 0.871, 0.194], [0.639, 0.129, 0.806], [0.806, 0.639, 0.129], [0.871, 0.194, 0.361], [0.500, 0.500, 0.500], [0.065, 0.919, 0.322], [0.081, 0.678, 0.935], [0.180, 0.434, 0.537], [0.322, 0.065, 0.919], [0.434, 0.537, 0.180], [0.463, 0.820, 0.566], [0.537, 0.180, 0.434], [0.566, 0.463, 0.820], [0.678, 0.935, 0.081], [0.820, 0.566, 0.463], [0.919, 0.322, 0.065], [0.935, 0.081, 0.678]],
  "formation_energy_uncorrected_mev_per_atom": -1875.3
}

=====

{
  "formula": "Gd2ErIr",
  "functional": "GGA-PBE",
  "state": "optimized geometry",
  "lattice": [[3.546, 0.000, 0.000], [0.000, 3.546, 0.000], [0.000, 0.000, 8.583]],
  "species": ["Gd", "Gd", "Er", "Ir"],
  "frac_coords": [[0.000, 0.000, 0.188], [0.000, 0.000, 0.812], [0.500, 0.500, 0.500], [0.500, 0.500, 0.000]],
  "de_polymorph_kj_per_mol_atoms": 0.0
}

=====

{
  "formula": "MgPt2C",
  "functional": "GGA-PBE",
  "state": "optimized geometry",
  "lattice": [[-3.391, 3.391, 2.632], [3.391, -3.391, 2.632], [3.391, 3.391, -2.632]],
  "species": ["Mg", "Mg", "Pt", "Pt", "Pt", "Pt", "C", "C"],
  "frac_coords": [[0.000, 0.000, 0.000], [0.750, 0.250, 0.500], [0.247, 0.625, 0.122], [0.375, 0.497, 0.622], [0.503, 0.125, 0.878], [0.875, 0.753, 0.378], [0.250, 0.750, 0.500], [0.500, 0.500, 0.000]],
  "de_polymorph_kj_per_mol_atoms": 0.0
}

=====

{
  "formula": "TbPm2NdSb4",
  "functional": "GGA-PBE",
  "state": "optimized geometry",
  "lattice": [[7.756, 0.000, 0.000], [0.000, 4.481, 0.000], [-2.586, 0.000, 7.313]],
  "species": ["Tb", "Pm", "Pm", "Nd", "Sb", "Sb", "Sb", "Sb"],
  "frac_coords": [[0.000, 0.000, 0.000], [0.000, 0.500, 0.500], [0.500, 0.000, 0.500], [0.500, 0.500, 0.000], [0.245, 0.500, 0.247], [0.247, 0.000, 0.751], [0.753, 0.000, 0.249], [0.755, 0.500, 0.753]],
  "formation_energy_uncorrected_mev_per_atom": -1175.0
}

=====

{
  "formula": "Pm2Ga4Ni5",
  "functional": "GGA-PBE",
  "state": "optimized geometry",
  "lattice": [[0.000, 4.616, 7.365], [2.684, 0.000, 7.365], [2.684, 4.616, 0.000]],
  "species": ["Pm", "Pm", "Ga", "Ga", "Ga", "Ga", "Ni", "Ni", "Ni", "Ni", "Ni"],
  "frac_coords": [[0.135, 0.135, 0.865], [0.865, 0.865, 0.135], [0.212, 0.532, 0.468], [0.468, 0.788, 0.212], [0.532, 0.212, 0.788], [0.788, 0.468, 0.532], [0.000, 0.000, 0.500], [0.250, 0.250, 0.250], [0.500, 0.500, 0.000], [0.500, 0.500, 0.500], [0.750, 0.750, 0.750]],
  "total_energy_ev_per_atom": -5.089
}

=====

{
  "formula": "K2SiAs",
  "functional": "GGA-PBE",
  "state": "optimized geometry",
  "lattice": [[3.093, 0.000, 0.000], [0.000, 3.093, 0.000], [0.000, 0.000, 10.615]],
  "species": ["K", "K", "Si", "As"],
  "frac_coords": [[0.000, 0.000, 0.240], [0.000, 0.000, 0.760], [0.500, 0.500, 0.500], [0.500, 0.500, 0.000]],
  "formation_energy_uncorrected_mev_per_atom": 235.3,
  "de_polymorph_kj_per_mol_atoms": 45.4
}